Here is a relaxed LaGdRh crystal from Alexandria. Energies are from GGA-PBE.

Properties
The formation energy comes out at -523 meV per atom. The symmetry is P3m1, No. 156. Its magnetization is 7.4 μB/f.u. The mass density comes out at 7.08 g/cm³.

Unit cell a=6.412 b=4.105 c=4.105 alpha=120.00 beta=90.00 gamma=90.00
Fractional coordinates of all 3 atoms:
La1 0.759 0.667 0.333
Rh1 0.004 0.000 0.000
Gd1 0.237 0.333 0.667